Entry 1:
# GdPaCoNi, relaxed, DFT PBE
# crystal system = cubic
data_GdPaCoNi
_chemical_formula_sum 'Gd1 Pa1 Co1 Ni1'
_symmetry_space_group_name_H-M 'P 1'
_symmetry_Int_Tables_number 1
_cell_length_a 4.746
_cell_length_b 4.746
_cell_length_c 4.746
_cell_angle_alpha 60.00
_cell_angle_beta 60.00
_cell_angle_gamma 60.00
loop_
_symmetry_equiv_pos_as_xyz
'x,y,z'
loop_
_atom_site_label
_atom_site_type_symbol
_atom_site_fract_x
_atom_site_fract_y
_atom_site_fract_z
Co1 Co 0.750 0.750 0.750
Pa1 Pa 0.500 0.500 0.500
Ni1 Ni 0.250 0.250 0.250
Gd1 Gd 0.000 0.000 0.000

=====

Entry 2:
# PmGdCoNi, relaxed, DFT PBE
# crystal system = cubic
data_PmGdCoNi
_chemical_formula_sum 'Pm1 Gd1 Co1 Ni1'
_symmetry_space_group_name_H-M 'P 1'
_symmetry_Int_Tables_number 1
_cell_length_a 4.837
_cell_length_b 4.837
_cell_length_c 4.837
_cell_angle_alpha 60.00
_cell_angle_beta 60.00
_cell_angle_gamma 60.00
loop_
_symmetry_equiv_pos_as_xyz
'x,y,z'
loop_
_atom_site_label
_atom_site_type_symbol
_atom_site_fract_x
_atom_site_fract_y
_atom_site_fract_z
Co1 Co 0.750 0.750 0.750
Pm1 Pm 0.000 0.000 0.000
Gd1 Gd 0.500 0.500 0.500
Ni1 Ni 0.250 0.250 0.250

=====

Entry 3:
# GdCoNiSn, relaxed, DFT PBE
# crystal system = cubic
data_GdCoNiSn
_chemical_formula_sum 'Gd1 Co1 Ni1 Sn1'
_symmetry_space_group_name_H-M 'P 1'
_symmetry_Int_Tables_number 1
_cell_length_a 4.612
_cell_length_b 4.612
_cell_length_c 4.612
_cell_angle_alpha 60.00
_cell_angle_beta 60.00
_cell_angle_gamma 60.00
loop_
_symmetry_equiv_pos_as_xyz
'x,y,z'
loop_
_atom_site_label
_atom_site_type_symbol
_atom_site_fract_x
_atom_site_fract_y
_atom_site_fract_z
Gd1 Gd 0.750 0.750 0.750
Co1 Co 0.500 0.500 0.500
Ni1 Ni 0.000 0.000 0.000
Sn1 Sn 0.250 0.250 0.250

=====

Entry 4:
# GdTmCoNi, relaxed, DFT PBE
# crystal system = cubic
data_GdTmCoNi
_chemical_formula_sum 'Gd1 Tm1 Co1 Ni1'
_symmetry_space_group_name_H-M 'P 1'
_symmetry_Int_Tables_number 1
_cell_length_a 4.735
_cell_length_b 4.735
_cell_length_c 4.735
_cell_angle_alpha 60.00
_cell_angle_beta 60.00
_cell_angle_gamma 60.00
loop_
_symmetry_equiv_pos_as_xyz
'x,y,z'
loop_
_atom_site_label
_atom_site_type_symbol
_atom_site_fract_x
_atom_site_fract_y
_atom_site_fract_z
Tm1 Tm 0.000 0.000 0.000
Gd1 Gd 0.500 0.500 0.500
Co1 Co 0.750 0.750 0.750
Ni1 Ni 0.250 0.250 0.250

=====

Entry 5:
# GdZrCoNi, relaxed, DFT PBE
# crystal system = cubic
data_GdZrCoNi
_chemical_formula_sum 'Gd1 Zr1 Co1 Ni1'
_symmetry_space_group_name_H-M 'P 1'
_symmetry_Int_Tables_number 1
_cell_length_a 4.659
_cell_length_b 4.659
_cell_length_c 4.659
_cell_angle_alpha 60.00
_cell_angle_beta 60.00
_cell_angle_gamma 60.00
loop_
_symmetry_equiv_pos_as_xyz
'x,y,z'
loop_
_atom_site_label
_atom_site_type_symbol
_atom_site_fract_x
_atom_site_fract_y
_atom_site_fract_z
Ni1 Ni 0.750 0.750 0.750
Gd1 Gd 0.500 0.500 0.500
Zr1 Zr 0.000 0.000 0.000
Co1 Co 0.250 0.250 0.250

=====

Entry 6:
# GdNpCo2, relaxed, DFT PBE
# crystal system = trigonal
data_GdNpCo2
_chemical_formula_sum 'Gd1 Np1 Co2'
_symmetry_space_group_name_H-M 'P 1'
_symmetry_Int_Tables_number 1
_cell_length_a 3.023
_cell_length_b 3.023
_cell_length_c 9.322
_cell_angle_alpha 80.67
_cell_angle_beta 80.67
_cell_angle_gamma 60.00
loop_
_symmetry_equiv_pos_as_xyz
'x,y,z'
loop_
_atom_site_label
_atom_site_type_symbol
_atom_site_fract_x
_atom_site_fract_y
_atom_site_fract_z
Np1 Np 0.000 0.000 0.000
Co1 Co 0.920 0.920 0.239
Co2 Co 0.080 0.080 0.761
Gd1 Gd 0.500 0.500 0.500

=====

What are the calculated total energy values for these records? In order: -37.0 -32.4 -32.2 -32.5 -36.3 -39.0 eV for the cell shown.